! DyTm4Ir2 (PBE, relaxed); values from VASP
&SYSTEM
  ibrav = 0, nat = 14, ntyp = 3
/
ATOMIC_SPECIES
Tm 168.93 Tm.upf
Dy 162.50 Dy.upf
Ir 192.22 Ir.upf
ATOMIC_POSITIONS crystal
Tm 0.002 0.583 0.238
Tm 0.750 0.749 0.665
Tm 0.250 0.251 0.335
Tm 0.498 0.583 0.238
Tm 0.250 0.985 0.619
Tm 0.750 0.015 0.381
Dy 0.750 0.159 0.026
Tm 0.998 0.417 0.762
Ir 0.750 0.373 0.412
Ir 0.250 0.627 0.588
Ir 0.250 0.261 0.984
Dy 0.250 0.841 0.974
Tm 0.502 0.417 0.762
Ir 0.750 0.739 0.016
CELL_PARAMETERS angstrom
-1.399 -0.956 -5.995
-0.910 -7.676 1.436
-6.580 4.016 0.895
! **Volume**: 351 Å³/cell
! **M_tot**: 0.0000 μB per atom
! **ΔH_f (0 K)**: -0.589 eV per atom
! **Theoretical density**: 11.580 g/cm³


! Ce2BeSi3Pt12 (PBE, relaxed); values from VASP
&SYSTEM
  ibrav = 0, nat = 18, ntyp = 4
/
ATOMIC_SPECIES
Si 28.09 Si.upf
Ce 140.12 Ce.upf
Be 9.01 Be.upf
Pt 195.08 Pt.upf
ATOMIC_POSITIONS crystal
Si 0.500 0.000 0.000
Ce 0.656 0.656 0.656
Be 0.000 0.000 0.000
Pt 0.594 0.173 0.594
Ce 0.344 0.344 0.344
Pt 0.406 0.406 0.827
Pt 0.173 0.594 0.594
Pt 0.917 0.917 0.341
Pt 0.659 0.083 0.083
Pt 0.083 0.083 0.659
Pt 0.341 0.917 0.917
Pt 0.406 0.827 0.406
Pt 0.917 0.341 0.917
Pt 0.083 0.659 0.083
Pt 0.827 0.406 0.406
Si 0.000 0.500 0.000
Pt 0.594 0.594 0.173
Si 0.000 0.000 0.500
CELL_PARAMETERS angstrom
-2.863 6.208 5.353
-7.367 0.999 4.485
-1.773 0.119 8.499
! **Volume**: 321 Å³/cell
! **M_tot**: 0.0372 μB per atom
! **Formation energy from raw total energies**: -0.60 eV per atom
! **Theoretical density**: 14.028 g/cm³


! SrTlSi2 (PBE, relaxed); values from VASP
&SYSTEM
  ibrav = 0, nat = 4, ntyp = 3
/
ATOMIC_SPECIES
Si 28.09 Si.upf
Tl 204.38 Tl.upf
Sr 87.62 Sr.upf
ATOMIC_POSITIONS crystal
Si 0.000 0.000 0.000
Tl 0.250 0.750 0.500
Sr 0.750 0.250 0.500
Si 0.500 0.500 0.000
CELL_PARAMETERS angstrom
5.715 -0.011 0.000
2.113 5.310 0.000
-3.913 -2.650 3.213
! **Volume**: 98 Å³/cell
! **M_tot**: 0.0000 μB per atom
! **Formation energy from raw total energies**: 0.20 eV per atom
! **Theoretical density**: 5.924 g/cm³